# 1
Below is Rb2Pr2Br7 after structural relaxation, with properties calculated at the GGA-PBE level.

Structure (POSCAR):
```
Rb2Pr2Br7
1.0
-5.935 4.177 3.298
-3.889 -0.601 -6.240
-3.503 -6.280 1.647
Rb Pr Br
2 2 7
Direct
0.500 0.765 0.235 Rb
0.500 0.235 0.765 Rb
0.000 0.720 0.720 Pr
0.000 0.280 0.280 Pr
0.233 0.000 0.500 Br
0.767 0.500 0.000 Br
0.767 0.000 0.500 Br
0.233 0.500 0.000 Br
0.000 0.000 0.000 Br
0.777 0.500 0.500 Br
0.223 0.500 0.500 Br
```

Output
- density of states at the Fermi level (states/eV/atom) = 0.321
- formation energy without anion corrections (meV per atom) = -1722


# 2
Below is Ba2SbPd2 after structural relaxation, with properties calculated at the GGA-PBE level.

Structure (POSCAR):
```
Ba2SbPd2
1.0
6.278 0.000 0.000
0.000 6.278 0.000
3.139 3.139 4.035
Sb Ba Pd
1 2 2
Direct
0.000 0.000 0.000 Sb
0.750 0.250 0.500 Ba
0.250 0.750 0.500 Ba
0.336 0.336 0.329 Pd
0.664 0.664 0.671 Pd
```

Output
- density of states at the Fermi level (states/eV/atom) = 0.807
- relative energy among the computed polymorphs (kJ/mol of formula units) = 68
- formation energy without anion corrections (meV per atom) = -600


# 3
Below is AlSn3F after structural relaxation, with properties calculated at the GGA-PBE level.

Structure (POSCAR):
```
AlSn3F
1.0
4.956 0.000 0.000
0.000 4.956 0.000
0.000 0.000 4.956
F Sn Al
1 3 1
Direct
0.000 0.000 0.000 F
0.000 0.500 0.000 Sn
0.000 0.000 0.500 Sn
0.500 0.000 0.000 Sn
0.500 0.500 0.500 Al
```

Output
- density of states at the Fermi level (states/eV/atom) = 0.602
- relative energy among the computed polymorphs (kJ/mol of formula units) = 0
- formation energy without anion corrections (meV per atom) = -199


# 4
Below is Li4CeNd3Se8 after structural relaxation, with properties calculated at the GGA-PBE level.

Structure (POSCAR):
```
Li4CeNd3Se8
1.0
8.421 0.000 0.000
0.000 8.134 -0.213
-4.210 -4.204 5.957
Li Ce Nd Se
4 1 3 8
Direct
0.500 0.000 0.000 Li
0.500 0.000 0.500 Li
0.000 0.000 0.000 Li
0.000 0.000 0.500 Li
0.000 0.500 0.000 Ce
0.500 0.500 0.000 Nd
0.500 0.500 0.500 Nd
0.000 0.500 0.500 Nd
0.253 0.760 0.007 Se
0.253 0.760 0.506 Se
0.247 0.240 0.493 Se
0.754 0.760 0.007 Se
0.246 0.240 0.993 Se
0.753 0.760 0.507 Se
0.747 0.240 0.494 Se
0.747 0.240 0.993 Se
```

Output
- density of states at the Fermi level (states/eV/atom) = 0.389
- formation energy without anion corrections (meV per atom) = -1645


# 5
Below is YTiCu after structural relaxation, with properties calculated at the GGA-PBE level.

Structure (POSCAR):
```
YTiCu
1.0
-1.441 -3.242 2.437
4.619 -2.202 -0.198
2.734 2.220 4.570
Y Cu Ti
2 2 2
Direct
0.284 0.746 0.443 Y
0.784 0.625 0.915 Y
0.284 0.291 0.243 Cu
0.784 0.080 0.116 Cu
0.784 0.222 0.526 Ti
0.284 0.150 0.833 Ti
```

Output
- density of states at the Fermi level (states/eV/atom) = 1.352
- E_form (eV per atom) = 0.0073
- relative energy among the computed polymorphs (kJ/mol of formula units) = 12


# 6
Below is K2MnSb2Se6 after structural relaxation, with properties calculated at the GGA-PBE level.

Structure (POSCAR):
```
K2MnSb2Se6
1.0
6.912 0.043 0.029
-3.378 6.030 0.029
-1.298 -2.231 7.830
K Mn Sb Se
2 1 2 6
Direct
0.824 0.176 0.000 K
0.176 0.824 0.000 K
0.000 0.000 0.500 Mn
0.331 0.669 0.500 Sb
0.669 0.331 0.500 Sb
0.779 0.779 0.688 Se
0.070 0.367 0.691 Se
0.221 0.221 0.312 Se
0.367 0.070 0.691 Se
0.930 0.633 0.309 Se
0.633 0.930 0.309 Se
```

Output
- density of states at the Fermi level (states/eV/atom) = 0.296
- formation energy without anion corrections (meV per atom) = -598


# 7
Below is ErScGe2 after structural relaxation, with properties calculated at the GGA-PBE level.

Structure (POSCAR):
```
ErScGe2
1.0
-3.565 1.559 -0.616
-0.013 -1.707 -4.245
-1.947 -3.840 1.550
Sc Ge Er
1 2 1
Direct
0.500 0.500 0.500 Sc
0.000 0.000 0.500 Ge
0.000 0.500 0.000 Ge
0.500 0.000 0.000 Er
```

Output
- density of states at the Fermi level (states/eV/atom) = 0.896
- E_form (eV per atom) = -0.6015


# 8
Below is CoBiHPd2 after structural relaxation, with properties calculated at the GGA-PBE level.

Structure (POSCAR):
```
CoBiHPd2
1.0
-0.023 3.731 -1.647
-3.977 -0.387 -0.821
-0.921 1.626 3.698
H Co Bi Pd
1 1 1 2
Direct
0.000 0.000 0.000 H
0.000 0.000 0.500 Co
0.500 0.500 0.500 Bi
0.000 0.500 0.000 Pd
0.500 0.000 0.000 Pd
```

Output
- density of states at the Fermi level (states/eV/atom) = 0.776
- electronic total energy (eV for the cell shown) = -24.52


# 9
Below is BeNi4Os after structural relaxation, with properties calculated at the GGA-PBE level.

Structure (POSCAR):
```
BeNi4Os
1.0
0.511 -3.262 3.225
-1.797 0.613 4.207
-3.635 -2.506 1.344
Be Ni Os
1 4 1
Direct
0.000 0.000 0.000 Be
0.876 0.375 0.375 Ni
0.375 0.375 0.876 Ni
0.375 0.876 0.375 Ni
0.375 0.375 0.375 Ni
0.750 0.750 0.750 Os
```

Output
- density of states at the Fermi level (states/eV/atom) = 1.087
- E_form (eV per atom) = 0.2652


# 10
Below is LiPr2Mg after structural relaxation, with properties calculated at the GGA-PBE level.

Structure (POSCAR):
```
LiPr2Mg
1.0
5.509 0.000 0.000
2.754 4.771 0.000
2.754 1.590 4.498
Pr Mg Li
2 1 1
Direct
0.250 0.250 0.250 Pr
0.750 0.750 0.750 Pr
0.000 0.000 0.000 Mg
0.500 0.500 0.500 Li
```

Output
- density of states at the Fermi level (states/eV/atom) = 1.347
- E_form (eV per atom) = 0.0077
- relative energy among the computed polymorphs (kJ/mol of formula units) = 5


# 11
Below is Y2Al2Ag after structural relaxation, with properties calculated at the GGA-PBE level.

Structure (POSCAR):
```
Y2Al2Ag
1.0
-1.865 1.865 8.815
1.865 -1.865 8.815
1.865 1.865 -8.815
Y Al Ag
2 2 1
Direct
0.601 0.601 0.000 Y
0.399 0.399 0.000 Y
0.250 0.750 0.500 Al
0.750 0.250 0.500 Al
0.000 0.000 0.000 Ag
```

Output
- density of states at the Fermi level (states/eV/atom) = 0.900
- E_form (eV per atom) = -0.0869
- relative energy among the computed polymorphs (kJ/mol of formula units) = 163


# 12
Below is NpPaSn2 after structural relaxation, with properties calculated at the GGA-PBE level.

Structure (POSCAR):
```
NpPaSn2
1.0
-0.068 1.020 5.208
4.157 -1.332 3.020
3.142 3.778 2.006
Np Pa Sn
1 1 2
Direct
0.500 0.500 0.500 Np
0.000 0.000 0.000 Pa
0.250 0.250 0.250 Sn
0.750 0.750 0.750 Sn
```

Output
- density of states at the Fermi level (states/eV/atom) = 3.670
- E_form (eV per atom) = 0.0547
- relative energy among the computed polymorphs (kJ/mol of formula units) = 56


- Which of these has the highest density of states at the Fermi level?
  NpPaSn2


- What is the density of states at the Fermi level in the fourth record?
  0.389 states/eV/atom


- Which formula does entry 5 have?
  YTiCu